Below is a relaxed NaGaSnGe crystal, with properties calculated at the PBE level.

a b c (Å): 5.0843 5.0843 5.0843
angles (deg): 60.00 60.00 60.00
Closest atoms and distances in Å follow each position.
Fractional coordinates of all 4 atoms:
1 Na 0.0000 0.0000 0.0000  4 Ge 3.11, 4 Ga 3.11
2 Ge 0.2500 0.2500 0.2500  4 Sn 3.11, 4 Na 3.11
3 Ga 0.7500 0.7500 0.7500  4 Sn 3.11, 4 Na 3.11
4 Sn 0.5000 0.5000 0.5000  4 Ga 3.11, 4 Ge 3.11

**Raw total energy**: -12.83 eV/cell
**E_form**: 0.03 eV per atom
**Theoretical density**: 5.1 g/cm3



Below is a relaxed Na2SrGa2Ge2 crystal, with properties calculated at the PBE level.

a b c (Å): 4.4319 4.4319 9.9924
angles (deg): 77.19 77.19 60.00
Closest atoms and distances in Å follow each position.
Fractional coordinates of all 7 atoms:
1 Na 0.1420 0.1420 0.5739  3 Na 2.93, 3 Ga 2.97, 3 Ge 3.26
2 Na 0.8580 0.8580 0.4261  3 Na 2.93, 3 Ga 2.97, 3 Ge 3.26
3 Ge 0.7388 0.7388 0.7835  3 Ga 2.61
4 Ge 0.2612 0.2612 0.2165  3 Ga 2.61
5 Ga 0.5764 0.5764 0.2707  3 Ge 2.61
6 Ga 0.4236 0.4236 0.7293  3 Ge 2.61
7 Sr 0.0000 0.0000 0.0000  6 Ge 3.30, 6 Ga 3.66

**Raw total energy**: -21.33 eV/cell
**E_form**: -0.25 eV per atom
**Theoretical density**: 4.2 g/cm3



Below is a relaxed NaSrGaGe crystal, with properties calculated at the PBE level.

a b c (Å): 5.2731 5.2731 5.2731
angles (deg): 60.00 60.00 60.00
Closest atoms and distances in Å follow each position.
Fractional coordinates of all 4 atoms:
1 Ga 0.5000 0.5000 0.5000  4 Na 3.23, 4 Sr 3.23
2 Sr 0.2500 0.2500 0.2500  4 Ge 3.23, 4 Ga 3.23
3 Na 0.7500 0.7500 0.7500  4 Ga 3.23, 4 Ge 3.23
4 Ge 0.0000 0.0000 0.0000  4 Na 3.23, 4 Sr 3.23

**Raw total energy**: -11.47 eV/cell
**E_form**: -0.21 eV per atom
**Theoretical density**: 4.1 g/cm3



Below is a relaxed NaSrGa2Ge2 crystal, with properties calculated at the PBE level.

a b c (Å): 4.2774 4.2774 9.4440
angles (deg): 90.00 90.00 120.00
Closest atoms and distances in Å follow each position.
Fractional coordinates of all 6 atoms:
1 Ge 0.3333 0.6667 0.2654  3 Ga 2.48
2 Ge 0.6667 0.3333 0.7346  3 Ga 2.48
3 Sr 0.0000 0.0000 0.0000  6 Ga 3.33, 6 Ge 3.52
4 Na 0.0000 0.0000 0.5000  6 Ge 3.32, 6 Ga 3.50
5 Ga 0.3333 0.6667 0.7632  3 Ge 2.48
6 Ga 0.6667 0.3333 0.2368  3 Ge 2.48

**Raw total energy**: -20.27 eV/cell
**E_form**: -0.33 eV per atom
**Theoretical density**: 4.4 g/cm3



Below is a relaxed NaGa2TcGe crystal, with properties calculated at the PBE level.

a b c (Å): 4.8951 4.8951 4.7822
angles (deg): 90.00 90.00 90.00
Closest atoms and distances in Å follow each position.
Fractional coordinates of all 5 atoms:
1 Ga 0.0000 0.5000 0.0000  2 Tc 2.45
2 Ga 0.5000 0.0000 0.0000  2 Tc 2.45
3 Tc 0.0000 0.0000 0.0000  2 Ge 2.39, 4 Ga 2.45
4 Ge 0.0000 0.0000 0.5000  2 Tc 2.39
5 Na 0.5000 0.5000 0.5000  8 Ga 3.42, 4 Ge 3.46

**Raw total energy**: -22.86 eV/cell
**E_form**: -0.10 eV per atom
**Theoretical density**: 4.8 g/cm3



Below is a relaxed NaGaTcGe2 crystal, with properties calculated at the PBE level.

a b c (Å): 4.8547 4.8547 4.9068
angles (deg): 90.00 90.00 90.00
Closest atoms and distances in Å follow each position.
Fractional coordinates of all 5 atoms:
1 Tc 0.0000 0.0000 0.0000  4 Ge 2.43, 2 Ga 2.45
2 Na 0.5000 0.5000 0.5000  4 Ga 3.43, 8 Ge 3.45
3 Ga 0.0000 0.0000 0.5000  2 Tc 2.45
4 Ge 0.0000 0.5000 0.0000  2 Tc 2.43
5 Ge 0.5000 0.0000 0.0000  2 Tc 2.43

**Raw total energy**: -23.87 eV/cell
**E_form**: 0.02 eV per atom
**Theoretical density**: 4.8 g/cm3



Below is a relaxed NaGaGeTe3 crystal, with properties calculated at the PBE level.

a b c (Å): 4.3502 8.9110 11.4869
angles (deg): 110.47 90.00 90.00
Closest atoms and distances in Å follow each position.
Fractional coordinates of all 12 atoms:
1 Te 0.2500 0.7844 0.4293  3 Ga 2.73-2.74
2 Te 0.2500 0.0651 0.8507  1 Ga 2.58
3 Te 0.7500 0.9349 0.1493  1 Ga 2.58
4 Te 0.7500 0.2156 0.5707  3 Ga 2.73-2.74
5 Te 0.2500 0.5487 0.8626  3 Ge 2.75-2.98
6 Te 0.7500 0.4513 0.1374  3 Ge 2.75-2.98
7 Na 0.7500 0.7967 0.8394  5 Te 3.18-3.34
8 Na 0.2500 0.2033 0.1606  5 Te 3.18-3.34
9 Ga 0.7500 0.9338 0.3736  4 Te 2.58-2.74
10 Ga 0.2500 0.0662 0.6264  4 Te 2.58-2.74
11 Ge 0.7500 0.3304 0.8814  3 Te 2.75-2.98
12 Ge 0.2500 0.6696 0.1186  3 Te 2.75-2.98

**Raw total energy**: -41.35 eV/cell
**Formation energy without anion corrections**: -381 meV/atom
**Theoretical density**: 4.4 g/cm3



Below is a relaxed Na2GaGeTe4 crystal, with properties calculated at the PBE level.

a b c (Å): 7.2417 8.7947 9.2675
angles (deg): 90.00 90.00 90.00
Closest atoms and distances in Å follow each position.
Fractional coordinates of all 16 atoms:
1 Na 0.4797 0.3349 0.7525  4 Te 3.06-3.18
2 Na 0.9797 0.6651 0.2525  4 Te 3.06-3.18
3 Na 0.4797 0.3349 0.2475  4 Te 3.06-3.18
4 Na 0.9797 0.6651 0.7475  4 Te 3.06-3.18
5 Te 0.4119 0.6912 0.7319  1 Ga 2.67, 1 Ge 2.84
6 Te 0.9119 0.3088 0.7681  1 Ga 2.67, 1 Ge 2.84
7 Te 0.9119 0.3088 0.2319  1 Ga 2.67, 1 Ge 2.84
8 Te 0.3600 0.1335 0.5000  1 Ga 2.64, 1 Ge 2.70
9 Te 0.4119 0.6912 0.2681  1 Ga 2.67, 1 Ge 2.84
10 Te 0.3666 0.1194 0.0000  1 Ga 2.66, 1 Ge 2.67
11 Te 0.8666 0.8806 0.5000  1 Ga 2.66, 1 Ge 2.67
12 Te 0.8600 0.8665 0.0000  1 Ga 2.64, 1 Ge 2.70
13 Ge 0.4897 0.8327 0.0000  4 Te 2.67-2.84
14 Ge 0.9897 0.1673 0.5000  4 Te 2.67-2.84
15 Ga 0.5005 0.8569 0.5000  4 Te 2.64-2.67
16 Ga 0.0005 0.1431 0.0000  4 Te 2.64-2.67

**Raw total energy**: -52.58 eV/cell
**Formation energy without anion corrections**: -430 meV/atom
**Theoretical density**: 3.9 g/cm3